Tb6HgN | GGA-PBE | relaxed

Output
The formation energy without anion corrections comes out at -367 meV/atom.

Unit cell a=6.578 b=6.586 c=7.086 alpha=62.39 beta=62.44 gamma=60.04
Fractional positions:
Tb: 0.206 0.965 0.229
Tb: 0.399 0.794 0.771
Tb: 0.601 0.206 0.229
Tb: 0.794 0.035 0.771
N: 0.000 0.000 0.000
Tb: 0.035 0.399 0.771
Tb: 0.965 0.601 0.229
Hg: 0.500 0.500 0.500